The following is a DFT calculation (PBE-GGA) of a geometry-optimized Ho2LuZr structure.

Lattice parameters (Å, degrees): 5.453 5.453 5.453 60.00 60.00 60.00
Each line ends with the local moment (μB).
Atoms (fractional coordinates):
Ho  0.250  0.250  0.250  0.46
Ho  0.750  0.750  0.750  0.46
Zr  0.500  0.500  0.500  0.95
Lu  0.000  0.000  0.000  0.21

Calculated values
DFT total energy: -21.437 eV per cell
Fermi-level density of states: 6.13 states/eV per cell
E_form: 0.787 eV per formula unit
size of the total moment: 2.99 μB per cell